Tb3CePm6Tm2, relaxed, DFT GGA-PBE; formation energy from the elements = 0.037 eV/atom
1.0
6.232 -0.001 0.017
-3.115 5.398 0.017
-1.072 -1.856 11.680
Tb Ce Pm Tm
3 1 6 2
direct
0.167 0.833 0.500
0.833 0.167 0.500
0.500 0.500 0.500
0.000 0.000 0.000
0.917 0.586 0.751
0.751 0.751 0.248
0.083 0.414 0.249
0.586 0.917 0.751
0.249 0.249 0.752
0.414 0.083 0.249
0.333 0.667 0.000
0.667 0.333 0.000


Tb5CePm2Y, relaxed, DFT GGA-PBE; formation energy from the elements = 0.265 eV/atom
1.0
8.591 0.000 0.000
0.000 8.591 0.000
-4.296 -4.296 7.875
Tb Ce Pm Y
10 2 4 2
direct
0.940 0.440 0.283
0.658 0.158 0.717
0.060 0.560 0.717
0.158 0.060 0.717
0.560 0.658 0.717
0.842 0.940 0.283
0.440 0.342 0.283
0.342 0.842 0.283
0.500 0.500 0.000
0.000 0.000 0.000
0.250 0.750 0.500
0.750 0.250 0.500
0.122 0.378 0.000
0.622 0.122 0.000
0.378 0.878 0.000
0.878 0.622 0.000
0.250 0.250 0.500
0.750 0.750 0.500


Tb6CePm2Y3, relaxed, DFT GGA-PBE; formation energy from the elements = 0.038 eV/atom
1.0
-4.326 4.293 -1.154
0.428 -2.532 5.646
8.769 7.799 1.698
Tb Ce Pm Y
6 1 2 3
direct
0.917 0.586 0.749
0.753 0.753 0.251
0.083 0.414 0.251
0.586 0.917 0.749
0.247 0.247 0.749
0.414 0.083 0.251
0.000 0.000 0.000
0.334 0.666 0.000
0.666 0.334 0.000
0.167 0.833 0.500
0.833 0.167 0.500
0.500 0.500 0.500


Results for density: 7.7; 7.5; 7.0 (in g/cm3, following the order of the records).
Results for V: 393.3; 581.3; 389.0 (in Å³/cell, following the order of the records).
Results for DOS(E_F): 1.611; 1.745; 1.686 (in states/eV per atom, following the order of the records).